The following is a PBE+U calculation of a relaxed KFeBiWO6 crystal, from the Alexandria database.

Computed properties:
The volume is 12.82 Å³/atom. The magnetic moment comes out at 4.3 μB per formula unit. As for the total energy: -6.311 eV/atom. The space group is F-43m (216).

Unit cell a=5.6600 b=5.6600 c=5.6600 alpha=60.00 beta=60.00 gamma=60.00
With the nearest neighbours (Å) after each atom.
Sites, in units of the cell vectors:
K 0.0000 0.0000 0.0000  12 O 2.83
Fe 0.2500 0.2500 0.2500  6 O 2.04
Bi 0.5000 0.5000 0.5000  12 O 2.83
W 0.7500 0.7500 0.7500  6 O 1.96
O 0.5052 0.5052 0.9948  1 W 1.96, 1 Fe 2.04
O 0.5052 0.9948 0.5052  1 W 1.96, 1 Fe 2.04
O 0.5052 0.9948 0.9948  1 W 1.96, 1 Fe 2.04
O 0.9948 0.5052 0.5052  1 W 1.96, 1 Fe 2.04
O 0.9948 0.5052 0.9948  1 W 1.96, 1 Fe 2.04
O 0.9948 0.9948 0.5052  1 W 1.96, 1 Fe 2.04